w) Density functional theory data (meta-GGA SCAN) for a crystal of AlMo2 relaxed with PBEsol.

Output
space group: P6_3/mmc
DOS at the Fermi energy: 2.44 states/eV/f.u.
magnetization: 0.0 μB/f.u.
volume: 15.57 Å³ per atom

The structure in POSCAR format:
```
AlMo2
1.0
4.5024 0.0000 0.0000
-2.2512 3.8992 0.0000
0.0000 0.0000 5.3228
Al Mo
2 4
Direct
0.0000 0.0000 0.2500 Al
0.0000 0.0000 0.7500 Al
0.3333 0.6667 0.0209 Mo
0.3333 0.6667 0.4791 Mo
0.6667 0.3333 0.5209 Mo
0.6667 0.3333 0.9791 Mo
```

x) Density functional theory data (meta-GGA SCAN) for a crystal of AlMo2 relaxed with PBEsol.

Output
space group: P-3m1
DOS at the Fermi energy: 1.40 states/eV/f.u.
magnetization: 0.0 μB/f.u.
volume: 15.03 Å³ per atom

The structure in POSCAR format:
```
AlMo2
1.0
4.4000 0.0000 0.0000
-2.2000 3.8105 0.0000
0.0000 0.0000 2.6900
Al Mo
1 2
Direct
0.0000 0.0000 0.0000 Al
0.3333 0.6667 0.6229 Mo
0.6667 0.3333 0.3771 Mo
```

y) Density functional theory data (meta-GGA SCAN) for a crystal of AlMo2 relaxed with PBEsol.

Output
space group: C2/m
DOS at the Fermi energy: 1.92 states/eV/f.u.
magnetization: 0.0 μB/f.u.
volume: 15.04 Å³ per atom

The structure in POSCAR format:
```
AlMo2
1.0
9.6139 0.0000 0.0000
0.0000 3.2384 0.0000
-1.9890 0.0000 5.7969
Al Mo
4 8
Direct
0.1665 0.0000 0.3273 Al
0.3335 0.5000 0.6727 Al
0.6665 0.5000 0.3273 Al
0.8335 0.0000 0.6727 Al
0.0000 0.5000 0.0000 Mo
0.0000 0.5000 0.5000 Mo
0.1601 0.0000 0.8333 Mo
0.3399 0.5000 0.1667 Mo
0.5000 0.0000 0.0000 Mo
0.5000 0.0000 0.5000 Mo
0.6601 0.5000 0.8333 Mo
0.8399 0.0000 0.1667 Mo
```

Which of them is most stable, and which least? Most stable: x); least stable: w).

w) Density functional theory data (meta-GGA SCAN) for a crystal of AlMoP2 relaxed with PBEsol.

Output
space group: C2/m
DOS at the Fermi energy: 2.09 states/eV/f.u.
magnetization: 0.0 μB/f.u.
volume: 14.48 Å³ per atom

The structure in POSCAR format:
```
AlMoP2
1.0
8.0921 0.0000 0.0000
0.0000 3.0852 0.0000
-0.3943 0.0000 4.6399
Al Mo P
2 2 4
Direct
0.0000 0.0000 0.0000 Al
0.5000 0.5000 0.0000 Al
0.0000 0.5000 0.5000 Mo
0.5000 0.0000 0.5000 Mo
0.2254 0.0000 0.7057 P
0.2746 0.5000 0.2943 P
0.7254 0.5000 0.7057 P
0.7746 0.0000 0.2943 P
```

x) Density functional theory data (meta-GGA SCAN) for a crystal of AlMoP2 relaxed with PBEsol.

Output
space group: I4/mmm
DOS at the Fermi energy: 2.64 states/eV/f.u.
magnetization: 0.0 μB/f.u.
volume: 13.70 Å³ per atom

The structure in POSCAR format:
```
AlMoP2
1.0
4.4946 0.0000 0.0000
0.0000 4.4946 0.0000
0.0000 0.0000 5.4235
Al Mo P
2 2 4
Direct
0.0000 0.0000 0.0000 Al
0.5000 0.5000 0.5000 Al
0.0000 0.0000 0.5000 Mo
0.5000 0.5000 0.0000 Mo
0.0000 0.5000 0.2500 P
0.0000 0.5000 0.7500 P
0.5000 0.0000 0.2500 P
0.5000 0.0000 0.7500 P
```

Which of them is most stable, and which least? Most stable: w); least stable: x).

w) Density functional theory data (meta-GGA SCAN) for a crystal of AlMo2Pb relaxed with PBEsol.

Output
space group: I-4m2
DOS at the Fermi energy: 2.66 states/eV/f.u.
magnetization: 0.0 μB/f.u.
volume: 16.96 Å³ per atom

The structure in POSCAR format:
```
AlMo2Pb
1.0
4.0642 0.0000 0.0000
0.0000 4.0642 0.0000
0.0000 0.0000 8.2141
Al Mo Pb
2 4 2
Direct
0.0000 0.0000 0.0000 Al
0.5000 0.5000 0.5000 Al
0.0000 0.0000 0.5000 Mo
0.0000 0.5000 0.2500 Mo
0.5000 0.0000 0.7500 Mo
0.5000 0.5000 0.0000 Mo
0.0000 0.5000 0.7500 Pb
0.5000 0.0000 0.2500 Pb
```

x) Density functional theory data (meta-GGA SCAN) for a crystal of AlMo2Pb relaxed with PBEsol.

Output
space group: I4/mmm
DOS at the Fermi energy: 3.76 states/eV/f.u.
magnetization: 0.0 μB/f.u.
volume: 17.09 Å³ per atom

The structure in POSCAR format:
```
AlMo2Pb
1.0
3.9860 0.0000 0.0000
0.0000 3.9860 0.0000
0.0000 0.0000 8.6066
Al Mo Pb
2 4 2
Direct
0.0000 0.0000 0.0000 Al
0.5000 0.5000 0.5000 Al
0.0000 0.5000 0.2500 Mo
0.0000 0.5000 0.7500 Mo
0.5000 0.0000 0.2500 Mo
0.5000 0.0000 0.7500 Mo
0.0000 0.0000 0.5000 Pb
0.5000 0.5000 0.0000 Pb
```

Which of them is most stable, and which least? Most stable: w); least stable: x).

w) Density functional theory data (meta-GGA SCAN) for a crystal of AlMo2Pb relaxed with PBEsol.

Output
space group: R3m
DOS at the Fermi energy: 1.69 states/eV/f.u.
magnetization: 0.0 μB/f.u.
volume: 18.61 Å³ per atom

The structure in POSCAR format:
```
AlMo2Pb
1.0
3.1027 0.0000 0.0000
-1.5513 2.6870 0.0000
0.0000 0.0000 26.7916
Al Mo Pb
3 6 3
Direct
0.0000 0.0000 0.0000 Al
0.3333 0.6667 0.6667 Al
0.6667 0.3333 0.3333 Al
0.0000 0.0000 0.2564 Mo
0.0000 0.0000 0.5228 Mo
0.3333 0.6667 0.1895 Mo
0.3333 0.6667 0.9231 Mo
0.6667 0.3333 0.5897 Mo
0.6667 0.3333 0.8562 Mo
0.0000 0.0000 0.7644 Pb
0.3333 0.6667 0.4311 Pb
0.6667 0.3333 0.0978 Pb
```

x) Density functional theory data (meta-GGA SCAN) for a crystal of AlMo2Pb relaxed with PBEsol.

Output
space group: C2/m
DOS at the Fermi energy: 1.69 states/eV/f.u.
magnetization: 0.0 μB/f.u.
volume: 18.17 Å³ per atom

The structure in POSCAR format:
```
AlMo2Pb
1.0
9.1923 0.0000 0.0000
0.0000 3.2345 0.0000
-0.7633 0.0000 4.8889
Al Mo Pb
2 4 2
Direct
0.0000 0.0000 0.0000 Al
0.5000 0.5000 0.0000 Al
0.2456 0.5000 0.1908 Mo
0.2544 0.0000 0.8092 Mo
0.7456 0.0000 0.1908 Mo
0.7544 0.5000 0.8092 Mo
0.0000 0.5000 0.5000 Pb
0.5000 0.0000 0.5000 Pb
```

Which of them is most stable, and which least? Most stable: w); least stable: x).

w) Density functional theory data (meta-GGA SCAN) for a crystal of Al2MoPt relaxed with PBEsol.

Output
space group: Amm2
DOS at the Fermi energy: 1.51 states/eV/f.u.
magnetization: 0.0 μB/f.u.
volume: 14.64 Å³ per atom

The structure in POSCAR format:
```
Al2MoPt
1.0
4.3137 0.0000 0.0000
0.0000 2.7261 0.0000
0.0000 0.0000 9.9607
Al Mo Pt
4 2 2
Direct
0.0000 0.0000 0.0000 Al
0.0000 0.5000 0.5000 Al
0.5000 0.0000 0.1586 Al
0.5000 0.5000 0.6586 Al
0.0000 0.0000 0.7403 Mo
0.0000 0.5000 0.2403 Mo
0.5000 0.0000 0.4152 Pt
0.5000 0.5000 0.9152 Pt
```

x) Density functional theory data (meta-GGA SCAN) for a crystal of Al2MoPt relaxed with PBEsol.

Output
space group: Fm-3m
DOS at the Fermi energy: 3.47 states/eV/f.u.
magnetization: 0.0 μB/f.u.
volume: 14.24 Å³ per atom

The structure in POSCAR format:
```
Al2MoPt
1.0
6.1075 0.0000 0.0000
0.0000 6.1075 0.0000
0.0000 0.0000 6.1075
Al Mo Pt
8 4 4
Direct
0.2500 0.2500 0.2500 Al
0.2500 0.2500 0.7500 Al
0.2500 0.7500 0.2500 Al
0.2500 0.7500 0.7500 Al
0.7500 0.2500 0.2500 Al
0.7500 0.2500 0.7500 Al
0.7500 0.7500 0.2500 Al
0.7500 0.7500 0.7500 Al
0.0000 0.0000 0.0000 Mo
0.0000 0.5000 0.5000 Mo
0.5000 0.0000 0.5000 Mo
0.5000 0.5000 0.0000 Mo
0.0000 0.0000 0.5000 Pt
0.0000 0.5000 0.0000 Pt
0.5000 0.0000 0.0000 Pt
0.5000 0.5000 0.5000 Pt
```

y) Density functional theory data (meta-GGA SCAN) for a crystal of Al2MoPt relaxed with PBEsol.

Output
space group: P4/mmm
DOS at the Fermi energy: 1.35 states/eV/f.u.
magnetization: 0.0 μB/f.u.
volume: 14.60 Å³ per atom

The structure in POSCAR format:
```
Al2MoPt
1.0
2.7636 0.0000 0.0000
0.0000 2.7636 0.0000
0.0000 0.0000 7.6462
Al Mo Pt
2 1 1
Direct
0.0000 0.0000 0.2384 Al
0.0000 0.0000 0.7616 Al
0.5000 0.5000 0.5000 Mo
0.5000 0.5000 0.0000 Pt
```

z) Density functional theory data (meta-GGA SCAN) for a crystal of Al2MoPt relaxed with PBEsol.

Output
space group: F-43m
DOS at the Fermi energy: 3.20 states/eV/f.u.
magnetization: 1.4 μB/f.u.
volume: 15.03 Å³ per atom

The structure in POSCAR format:
```
Al2MoPt
1.0
6.2184 0.0000 0.0000
0.0000 6.2184 0.0000
0.0000 0.0000 6.2184
Al Mo Pt
8 4 4
Direct
0.0000 0.0000 0.0000 Al
0.0000 0.5000 0.5000 Al
0.2500 0.2500 0.2500 Al
0.2500 0.7500 0.7500 Al
0.5000 0.0000 0.5000 Al
0.5000 0.5000 0.0000 Al
0.7500 0.2500 0.7500 Al
0.7500 0.7500 0.2500 Al
0.2500 0.2500 0.7500 Mo
0.2500 0.7500 0.2500 Mo
0.7500 0.2500 0.2500 Mo
0.7500 0.7500 0.7500 Mo
0.0000 0.0000 0.5000 Pt
0.0000 0.5000 0.0000 Pt
0.5000 0.0000 0.0000 Pt
0.5000 0.5000 0.5000 Pt
```

Which of them is most stable, and which least? Most stable: x); least stable: z).

w) Density functional theory data (meta-GGA SCAN) for a crystal of Al2MoPt relaxed with PBEsol.

Output
space group: I-42d
DOS at the Fermi energy: 2.37 states/eV/f.u.
magnetization: 1.4 μB/f.u.
volume: 16.19 Å³ per atom

The structure in POSCAR format:
```
Al2MoPt
1.0
6.8448 0.0000 0.0000
0.0000 6.8448 0.0000
0.0000 0.0000 5.5279
Al Mo Pt
8 4 4
Direct
0.2270 0.2500 0.1250 Al
0.2500 0.7270 0.3750 Al
0.2500 0.7730 0.8750 Al
0.2730 0.2500 0.6250 Al
0.7270 0.7500 0.6250 Al
0.7500 0.2270 0.8750 Al
0.7500 0.2730 0.3750 Al
0.7730 0.7500 0.1250 Al
0.0000 0.0000 0.5000 Mo
0.0000 0.5000 0.7500 Mo
0.5000 0.0000 0.2500 Mo
0.5000 0.5000 0.0000 Mo
0.0000 0.0000 0.0000 Pt
0.0000 0.5000 0.2500 Pt
0.5000 0.0000 0.7500 Pt
0.5000 0.5000 0.5000 Pt
```

x) Density functional theory data (meta-GGA SCAN) for a crystal of Al2MoPt relaxed with PBEsol.

Output
space group: P2/m
DOS at the Fermi energy: 1.66 states/eV/f.u.
magnetization: 0.0 μB/f.u.
volume: 15.05 Å³ per atom

The structure in POSCAR format:
```
Al2MoPt
1.0
2.7677 0.0000 0.0000
0.0000 4.0803 0.0000
-0.2182 0.0000 5.3290
Al Mo Pt
2 1 1
Direct
0.0660 0.0000 0.2391 Al
0.9340 0.0000 0.7609 Al
0.5000 0.5000 0.0000 Mo
0.0000 0.5000 0.5000 Pt
```

Which of them is most stable, and which least? Most stable: x); least stable: w).